Record 1
Computed, not measured: a relaxed CsHg3Au crystal at the PBE-GGA level of DFT.

```
CsHg3Au
1.0
5.152 0.000 0.000
0.000 5.299 0.000
0.000 0.000 14.050
Cs Hg Au
2 6 2
Cartesian
0.000 0.000 0.000
0.000 2.649 7.025
0.000 0.000 10.010
0.000 2.649 2.984
2.576 0.000 2.678
2.576 0.000 5.896
2.576 2.649 9.703
2.576 2.649 12.921
0.000 0.000 4.283
0.000 2.649 11.308
```

Values from the calculation:
- energy of formation (kJ per mole of atoms) = -16.40
- excess energy over the best structure of this formula in the dataset (meV/atom) = 54

Record 2
Computed, not measured: a relaxed PrBF crystal at the PBE-GGA level of DFT.

```
PrBF
1.0
3.720 0.000 0.000
0.000 14.808 0.000
0.000 0.000 3.221
Pr B F
4 4 4
Cartesian
0.000 1.846 0.805
0.000 12.962 2.416
1.860 5.558 2.416
1.860 9.250 0.805
0.000 7.255 0.805
0.000 7.554 2.416
1.860 0.150 2.416
1.860 14.659 0.805
0.000 4.385 0.805
0.000 10.423 2.416
1.860 3.019 2.416
1.860 11.789 0.805
```

Values from the calculation:
- excess energy over the best structure of this formula in the dataset (meV/atom) = 0
- ΔE_f (raw) (eV per atom) = -1.86

Record 3
Computed, not measured: a relaxed Sr2CaSn crystal at the PBE-GGA level of DFT.

```
Sr2CaSn
1.0
3.947 0.000 0.000
-1.973 3.418 0.000
0.000 0.000 39.834
Sr Ca Sn
6 3 3
Cartesian
0.000 0.000 3.323
0.000 0.000 36.511
0.000 2.279 23.233
0.000 2.279 29.878
1.973 1.139 9.955
1.973 1.139 16.601
0.000 0.000 19.917
0.000 2.279 6.639
1.973 1.139 33.195
0.000 0.000 0.000
0.000 2.279 26.556
1.973 1.139 13.278
```

Values from the calculation:
- energy of formation (kJ per mole of atoms) = 11.95

Record 4
Computed, not measured: a relaxed KGaPb crystal at the PBE-GGA level of DFT.

```
KGaPb
1.0
7.126 0.000 0.000
0.000 6.163 0.000
0.000 0.000 5.001
K Ga Pb
2 2 2
Cartesian
1.781 0.000 0.902
5.344 0.000 4.099
0.000 3.081 0.000
3.563 3.081 0.000
1.781 3.081 2.798
5.344 3.081 2.203
```

Values from the calculation:
- energy of formation (kJ per mole of atoms) = 0.75

Record 5
Computed, not measured: a relaxed TbNd3Hg3 crystal at the PBE-GGA level of DFT.

```
TbNd3Hg3
1.0
5.179 -5.443 0.000
5.179 5.443 0.000
0.000 0.000 7.427
Tb Nd Hg
2 6 6
Cartesian
5.179 3.169 0.000
5.179 -3.169 0.000
2.644 0.000 3.714
5.179 2.424 3.714
3.208 0.000 0.000
7.150 0.000 0.000
5.179 -2.424 3.714
7.715 0.000 3.714
0.000 0.000 2.045
0.000 0.000 5.382
2.590 2.721 1.782
2.590 2.721 5.646
2.590 -2.721 1.782
2.590 -2.721 5.646
```

Values from the calculation:
- energy of formation (kJ per mole of atoms) = -30.00

Record 6
Computed, not measured: a relaxed Na3Pm3IO8 crystal at the PBE-GGA level of DFT.

```
Na3Pm3IO8
1.0
5.858 -3.626 0.000
5.858 3.626 0.000
-3.871 0.000 5.785
Na Pm I O
3 3 1 8
Cartesian
0.000 0.000 0.000
0.993 1.813 2.892
0.993 -1.813 2.892
2.929 1.813 0.000
2.929 -1.813 0.000
3.923 0.000 2.892
-1.936 0.000 2.892
-0.312 0.000 4.324
4.679 1.824 1.591
2.131 0.000 1.324
3.166 1.824 4.194
4.679 -1.824 1.591
5.715 0.000 4.461
3.166 -1.824 4.194
8.158 0.000 1.460
```

Values from the calculation:
- ΔE_f (raw) (eV per atom) = -2.08

Record 7
Computed, not measured: a relaxed Sm4Te3P crystal at the PBE-GGA level of DFT.

```
Sm4Te3P
1.0
8.878 0.000 0.000
0.000 12.384 0.000
0.000 0.000 4.296
Sm Te P
8 6 2
Cartesian
0.000 2.830 0.000
0.000 9.554 0.000
1.927 0.000 2.148
2.512 6.192 2.148
4.439 3.362 0.000
4.439 9.022 0.000
6.366 6.192 2.148
6.950 0.000 2.148
0.000 6.192 0.000
2.219 3.096 2.148
2.219 9.288 2.148
4.439 0.000 0.000
6.658 3.096 2.148
6.658 9.288 2.148
0.000 0.000 0.000
4.439 6.192 0.000
```

Values from the calculation:
- ΔE_f (raw) (eV per atom) = -1.49

Record 8
Computed, not measured: a relaxed RePtW2 crystal at the PBE-GGA level of DFT.

```
RePtW2
1.0
2.789 0.000 0.000
0.000 3.996 0.000
-0.008 0.000 5.617
Re Pt W
1 1 2
Cartesian
0.000 0.000 0.000
-0.004 0.000 2.808
1.391 1.998 1.354
1.390 1.998 4.263
```

Values from the calculation:
- energy of formation (kJ per mole of atoms) = -1.75
- excess energy over the best structure of this formula in the dataset (meV/atom) = 77

Record 9
Computed, not measured: a relaxed CaCdSn crystal at the PBE-GGA level of DFT.

```
CaCdSn
1.0
7.675 0.000 0.000
-3.838 6.647 0.000
0.000 0.000 4.748
Ca Cd Sn
3 3 3
Cartesian
-2.199 3.809 0.000
1.638 2.838 0.000
4.399 0.000 0.000
-0.961 1.665 2.374
1.922 0.000 2.374
2.877 4.982 2.374
0.000 0.000 0.000
0.000 4.431 2.374
3.838 2.216 2.374
```

Values from the calculation:
- energy of formation (kJ per mole of atoms) = -48.88

Record 10
Computed, not measured: a relaxed Cs2ScSbS4 crystal at the PBE-GGA level of DFT.

```
Cs2ScSbS4
1.0
0.000 7.418 12.369
3.399 0.000 12.369
3.399 7.418 0.000
Cs Sc Sb S
4 2 2 8
Cartesian
2.549 5.563 1.344
4.249 9.272 7.529
2.549 5.563 17.210
4.249 9.272 23.395
0.850 1.854 3.092
5.948 12.981 21.647
2.549 5.563 9.277
4.249 9.272 15.462
2.397 3.240 4.364
4.401 6.949 10.548
2.701 7.887 4.364
2.701 3.240 14.190
4.097 11.595 10.548
4.097 6.949 20.375
2.397 7.887 14.190
4.401 11.595 20.375
```

Values from the calculation:
- ΔE_f (raw) (eV per atom) = -1.10

Record 11
Computed, not measured: a relaxed AgS crystal at the PBE-GGA level of DFT.

```
AgS
1.0
4.309 0.000 0.000
0.000 5.000 0.000
-1.712 0.000 3.983
Ag S
2 2
Cartesian
0.073 1.250 1.389
2.524 3.750 2.595
0.535 3.750 1.050
2.062 1.250 2.933
```

Values from the calculation:
- ΔE_f (raw) (eV per atom) = 0.13

Record 12
Computed, not measured: a relaxed ZnAgPt2 crystal at the PBE-GGA level of DFT.

```
ZnAgPt2
1.0
4.002 0.000 0.000
0.000 4.002 0.000
0.000 0.000 3.918
Zn Ag Pt
1 1 2
Cartesian
0.000 0.000 0.000
2.001 2.001 0.000
0.000 2.001 1.959
2.001 0.000 1.959
```

Values from the calculation:
- energy of formation (kJ per mole of atoms) = -22.12